{"formula": "Na2AcSn2", "functional": "PBE-GGA", "state": "relaxed", "lattice_angstrom": [[-0.937, -4.749, -1.549], [4.081, -1.265, 1.409], [-6.973, -0.117, 12.913]], "species": ["Sn", "Sn", "Sn", "Na", "Ac", "Ac", "Na", "Sn", "Na", "Na"], "frac_coords": [[0.627, 0.877, 0.253], [0.373, 0.123, 0.747], [0.726, 0.976, 0.452], [0.451, 0.701, 0.902], [0.822, 0.572, 0.644], [0.178, 0.428, 0.356], [0.549, 0.299, 0.098], [0.274, 0.024, 0.548], [0.944, 0.194, 0.888], [0.056, 0.806, 0.112]], "dft_energy_ev_per_atom": -3.30, "formation_energy_ev_per_atom": -0.3449}